1.
La6Pm3Y | PBE | relaxed

a b c (Å): 10.941 19.591 6.663
angles (deg): 90.00 90.00 90.00
Space group Cmc2_1 (No. 36)
Asymmetric unit:
La (0.000, 0.030, 0.000)
La (0.000, 0.283, 0.191)
La (0.174, 0.460, 0.295)
La (0.221, 0.292, 0.484)
Pm (0.000, 0.384, 0.770)
Pm (0.176, 0.119, 0.385)
Y (0.000, 0.186, 0.747)

## Properties
calculated formation energy: 112 kJ/mol of formula units
volume: 1428.23 Å³ per cell
size of the total moment: 0.0 μB/f.u.

=====

2.
LaAlH2 | PBE | relaxed

a b c (Å): 6.113 6.113 6.113
angles (deg): 90.00 90.00 90.00
Space group Fm-3m (No. 225)
Asymmetric unit:
La (0.000, 0.000, 0.000)
Al (0.000, 0.000, 0.500)
H (0.250, 0.250, 0.250)

## Properties
volume: 228.41 Å³ per cell
size of the total moment: 0.0 μB/f.u.
electronic total energy: -3.968 eV per atom

=====

3.
GaCu2Si2 | PBE | relaxed

a b c (Å): 7.650 7.650 2.507
angles (deg): 90.00 90.00 90.00
Space group P4/mbm (No. 127)
Asymmetric unit:
Ga (0.000, 0.000, 0.000)
Cu (0.159, 0.341, 0.500)
Si (0.136, 0.636, 0.000)

## Properties
volume: 146.73 Å³ per cell
size of the total moment: 0.0 μB/f.u.
formation energy without anion corrections: 151 meV/atom